Entry 1:
The following is a GGA-PBEsol calculation of an optimized crystal structure of BaMg4, from Alexandria.

```
BaMg4
1.0
-3.853 3.853 3.853
3.853 -3.853 3.853
3.853 3.853 -3.853
Ba Mg
1 4
direct
0.000 0.000 0.000
0.000 0.000 0.500
0.000 0.500 0.000
0.500 0.000 0.000
0.500 0.500 0.500
```

Computed properties:
Space group: Im-3m, No. 229

Entry 2:
The following is a GGA-PBEsol calculation of an optimized crystal structure of BaMg4, from Alexandria.

```
BaMg4
1.0
-3.634 3.634 2.756
3.634 -3.634 2.756
3.634 3.634 -2.756
Ba Mg
1 4
direct
0.000 0.000 0.000
0.198 0.500 0.698
0.500 0.198 0.698
0.500 0.802 0.302
0.802 0.500 0.302
```

Computed properties:
Space group: I4/mmm, No. 139

Entry 3:
The following is a GGA-PBEsol calculation of an optimized crystal structure of BaMg3, from Alexandria.

```
BaMg3
1.0
1.732 1.000 11.251
-1.732 1.000 11.251
0.000 -2.000 11.251
Ba Mg
1 3
direct
0.000 0.000 0.000
0.241 0.241 0.241
0.500 0.500 0.500
0.759 0.759 0.759
```

Computed properties:
Space group: R-3m, No. 166

Entry 4:
The following is a GGA-PBEsol calculation of an optimized crystal structure of BaMg3, from Alexandria.

```
BaMg3
1.0
-2.748 2.748 3.877
2.748 -2.748 3.877
2.748 2.748 -3.877
Ba Mg
1 3
direct
0.000 0.000 0.000
0.250 0.750 0.500
0.500 0.500 0.000
0.750 0.250 0.500
```

Computed properties:
Space group: I4/mmm, No. 139

Entry 5:
The following is a GGA-PBEsol calculation of an optimized crystal structure of BaMg2, from Alexandria.

```
BaMg2
1.0
2.588 -6.892 0.000
2.588 6.892 0.000
0.000 0.000 5.502
Ba Mg
2 4
direct
0.089 0.911 0.750
0.911 0.089 0.250
0.241 0.759 0.250
0.384 0.616 0.750
0.616 0.384 0.250
0.759 0.241 0.750
```

Computed properties:
Space group: Cmcm, No. 63

Entry 6:
The following is a GGA-PBEsol calculation of an optimized crystal structure of BaMg4, from Alexandria.

```
BaMg4
1.0
-5.330 5.330 5.330
5.330 -5.330 5.330
5.330 5.330 -5.330
Ba Mg
4 16
direct
0.000 0.000 0.572
0.000 0.572 0.000
0.428 0.428 0.428
0.572 0.000 0.000
0.000 0.000 0.205
0.000 0.205 0.000
0.000 0.356 0.356
0.000 0.644 0.644
0.205 0.000 0.000
0.250 0.500 0.750
0.250 0.750 0.500
0.356 0.000 0.356
0.356 0.356 0.000
0.500 0.250 0.750
0.500 0.750 0.250
0.644 0.000 0.644
0.644 0.644 0.000
0.750 0.250 0.500
0.750 0.500 0.250
0.795 0.795 0.795
```

Computed properties:
Space group: I-43m, No. 217

Entry 7:
The following is a GGA-PBEsol calculation of an optimized crystal structure of BaMgMn, from Alexandria.

```
BaMgMn
1.0
-1.847 1.847 6.168
1.847 -1.847 6.168
1.847 1.847 -6.168
Ba Mg Mn
1 1 1
direct
0.000 0.000 0.000
0.285 0.285 0.000
0.690 0.690 0.000
```

Computed properties:
Space group: I4mm, No. 107

Entry 8:
The following is a GGA-PBEsol calculation of an optimized crystal structure of BaMg2Mn, from Alexandria.

```
BaMg2Mn
1.0
0.000 3.779 3.779
3.779 0.000 3.779
3.779 3.779 0.000
Ba Mg Mn
1 2 1
direct
0.000 0.000 0.000
0.500 0.500 0.500
0.750 0.750 0.750
0.250 0.250 0.250
```

Computed properties:
Space group: F-43m, No. 216

Entry 9:
The following is a GGA-PBEsol calculation of an optimized crystal structure of BaMgMn2, from Alexandria.

```
BaMgMn2
1.0
4.640 -1.590 0.000
4.640 1.590 0.000
-0.895 0.000 6.632
Ba Mg Mn
1 1 2
direct
0.000 0.000 0.000
0.500 0.500 0.500
0.239 0.239 0.652
0.761 0.761 0.348
```

Computed properties:
Space group: C2/m, No. 12

Entry 10:
The following is a GGA-PBEsol calculation of an optimized crystal structure of BaMg2Mn, from Alexandria.

```
BaMg2Mn
1.0
-1.674 2.743 5.728
1.674 -2.743 5.728
1.674 2.743 -5.728
Ba Mg Mn
1 2 1
direct
0.000 0.000 0.000
0.294 0.794 0.500
0.706 0.206 0.500
0.500 0.500 0.000
```

Computed properties:
Space group: Immm, No. 71

Entry 11:
The following is a GGA-PBEsol calculation of an optimized crystal structure of BaMg3Mn, from Alexandria.

```
BaMg3Mn
1.0
5.216 0.000 0.000
0.000 5.216 0.000
0.000 0.000 5.216
Ba Mg Mn
1 3 1
direct
0.000 0.000 0.000
0.000 0.500 0.500
0.500 0.000 0.500
0.500 0.500 0.000
0.500 0.500 0.500
```

Computed properties:
Space group: Pm-3m, No. 221

Entry 12:
The following is a GGA-PBEsol calculation of an optimized crystal structure of BaMgMn, from Alexandria.

```
BaMgMn
1.0
0.000 3.816 3.816
3.816 0.000 3.816
3.816 3.816 0.000
Ba Mg Mn
1 1 1
direct
0.000 0.000 0.000
0.750 0.750 0.750
0.250 0.250 0.250
```

Computed properties:
Space group: F-43m, No. 216

DOS(E_F)
In order: 3.5; 3.1; 3.4; 3.3; 4.6; 15.4; 2.3; 3.3; 3.2; 3.8; 4.9; 3.3
Unit: states/eV/cell
DFT formation energy
In order: 765; -19; 167; -40; -20; 22; 499; 421; 744; 418; 328; 1129
Unit: meV/atom